Entry 1:
A geometry-optimized BaZn2InAu2 structure, computed with PBE-GGA.

Lattice parameters (Å, degrees): 4.609 4.609 7.760 90.00 90.00 120.00
Fractional coordinates of all 6 atoms:
Ba 0.000 0.000 0.000
Zn 0.333 0.667 0.690
Zn 0.667 0.333 0.310
In 0.000 0.000 0.500
Au 0.333 0.667 0.308
Au 0.667 0.333 0.692

Entry 2:
A geometry-optimized Ba2ZnIn3Au4 structure, computed with PBE-GGA.

Lattice parameters (Å, degrees): 4.985 4.985 10.674 90.00 90.00 90.00
Fractional coordinates of all 10 atoms:
Ba 0.000 0.500 0.249
Ba 0.500 0.000 0.751
Zn 0.000 0.000 0.500
In 0.000 0.500 0.877
In 0.500 0.000 0.123
In 0.500 0.500 0.500
Au 0.000 0.000 0.000
Au 0.000 0.500 0.616
Au 0.500 0.000 0.384
Au 0.500 0.500 0.000

Entry 3:
A geometry-optimized BaZnInAu6 structure, computed with PBE-GGA.

Lattice parameters (Å, degrees): 8.383 8.383 8.383 123.57 104.30 101.54
Fractional coordinates of all 18 atoms:
Ba 0.496 0.246 0.250
Ba 0.504 0.754 0.750
Zn 0.000 0.000 0.500
Zn 0.000 0.500 0.000
In 0.000 0.500 0.500
In 0.500 0.500 0.000
Au 0.113 0.318 0.172
Au 0.113 0.941 0.795
Au 0.166 0.416 0.750
Au 0.170 0.920 0.250
Au 0.354 0.059 0.672
Au 0.354 0.682 0.295
Au 0.646 0.318 0.705
Au 0.646 0.941 0.328
Au 0.830 0.080 0.750
Au 0.834 0.584 0.250
Au 0.887 0.059 0.205
Au 0.887 0.682 0.828

Entry 4:
A geometry-optimized BaIr2Au2 structure, computed with PBE-GGA.

Lattice parameters (Å, degrees): 4.753 4.753 10.067 90.00 90.00 90.00
Fractional coordinates of all 10 atoms:
Ba 0.000 0.000 0.000
Ba 0.500 0.500 0.500
Ir 0.000 0.000 0.383
Ir 0.000 0.000 0.617
Ir 0.500 0.500 0.117
Ir 0.500 0.500 0.883
Au 0.000 0.500 0.250
Au 0.000 0.500 0.750
Au 0.500 0.000 0.250
Au 0.500 0.000 0.750

Entry 5:
A geometry-optimized Ba7IrAu3 structure, computed with PBE-GGA.

Lattice parameters (Å, degrees): 7.968 7.968 8.019 104.75 104.75 101.84
Fractional coordinates of all 11 atoms:
Ba 0.000 0.000 0.000
Ba 0.015 0.513 0.222
Ba 0.179 0.179 0.604
Ba 0.434 0.748 0.651
Ba 0.504 0.504 0.129
Ba 0.513 0.015 0.222
Ba 0.748 0.434 0.651
Ir 0.329 0.329 0.352
Au 0.181 0.643 0.911
Au 0.643 0.181 0.911
Au 0.815 0.815 0.506

Entry 6:
A geometry-optimized Ba14Ir3Au6 structure, computed with PBE-GGA.

Lattice parameters (Å, degrees): 11.500 11.500 8.024 90.00 90.00 120.00
Fractional coordinates of all 23 atoms:
Ba 0.000 0.000 0.000
Ba 0.086 0.543 0.291
Ba 0.205 0.410 0.755
Ba 0.205 0.795 0.755
Ba 0.247 0.123 0.440
Ba 0.419 0.209 0.952
Ba 0.457 0.543 0.291
Ba 0.457 0.914 0.291
Ba 0.590 0.795 0.755
Ba 0.667 0.333 0.510
Ba 0.791 0.209 0.952
Ba 0.791 0.581 0.952
Ba 0.877 0.123 0.440
Ba 0.877 0.753 0.440
Ir 0.000 0.000 0.639
Ir 0.333 0.667 0.528
Ir 0.667 0.333 0.148
Au 0.148 0.295 0.174
Au 0.148 0.852 0.174
Au 0.521 0.041 0.687
Au 0.521 0.479 0.687
Au 0.705 0.852 0.174
Au 0.959 0.479 0.687

Entry 7:
A geometry-optimized BaIrAu2 structure, computed with PBE-GGA.

energy above the most stable polymorph in this dataset = 0.3842 eV per atom

Lattice parameters (Å, degrees): 6.413 6.431 4.299 90.00 90.12 90.00
Fractional coordinates of all 8 atoms:
Ba 0.000 0.000 0.000
Ba 0.500 0.500 0.000
Ir 0.000 0.500 0.000
Ir 0.500 0.000 0.000
Au 0.250 0.250 0.500
Au 0.250 0.750 0.500
Au 0.750 0.250 0.500
Au 0.750 0.750 0.500

Entry 8:
A geometry-optimized BaIrAu2 structure, computed with PBE-GGA.

energy above the most stable polymorph in this dataset = 0.3512 eV per atom

Lattice parameters (Å, degrees): 3.653 3.653 7.301 90.00 90.00 90.00
Fractional coordinates of all 4 atoms:
Ba 0.000 0.000 0.000
Ir 0.500 0.500 0.338
Au 0.000 0.000 0.439
Au 0.500 0.500 0.714

Entry 9:
A geometry-optimized BaIrAu2 structure, computed with PBE-GGA.

energy above the most stable polymorph in this dataset = 0.8139 eV per atom

Lattice parameters (Å, degrees): 3.122 3.122 30.426 90.00 90.00 120.00
Fractional coordinates of all 12 atoms:
Ba 0.000 0.000 0.000
Ba 0.333 0.667 0.667
Ba 0.667 0.333 0.333
Ir 0.000 0.000 0.500
Ir 0.333 0.667 0.167
Ir 0.667 0.333 0.833
Au 0.000 0.000 0.238
Au 0.000 0.000 0.762
Au 0.333 0.667 0.429
Au 0.333 0.667 0.905
Au 0.667 0.333 0.095
Au 0.667 0.333 0.571

Entry 10:
A geometry-optimized Ba5IrAu structure, computed with PBE-GGA.

Lattice parameters (Å, degrees): 7.902 7.902 12.115 106.27 106.27 82.16
Fractional coordinates of all 14 atoms:
Ba 0.080 0.717 0.361
Ba 0.243 0.757 0.750
Ba 0.277 0.337 0.982
Ba 0.283 0.920 0.139
Ba 0.337 0.277 0.482
Ba 0.663 0.723 0.518
Ba 0.717 0.080 0.861
Ba 0.723 0.663 0.018
Ba 0.757 0.243 0.250
Ba 0.920 0.283 0.639
Ir 0.000 0.500 0.500
Ir 0.500 0.000 0.000
Au 0.434 0.566 0.250
Au 0.566 0.434 0.750

Entry 11:
A geometry-optimized BaIrAu2 structure, computed with PBE-GGA.

energy above the most stable polymorph in this dataset = 0.5584 eV per atom

Lattice parameters (Å, degrees): 7.147 7.147 7.147 90.00 90.00 90.00
Fractional coordinates of all 16 atoms:
Ba 0.000 0.000 0.000
Ba 0.000 0.500 0.500
Ba 0.500 0.000 0.500
Ba 0.500 0.500 0.000
Ir 0.250 0.250 0.750
Ir 0.250 0.750 0.250
Ir 0.750 0.250 0.250
Ir 0.750 0.750 0.750
Au 0.000 0.000 0.500
Au 0.000 0.500 0.000
Au 0.250 0.250 0.250
Au 0.250 0.750 0.750
Au 0.500 0.000 0.000
Au 0.500 0.500 0.500
Au 0.750 0.250 0.750
Au 0.750 0.750 0.250

Entry 12:
A geometry-optimized BaIr4Au structure, computed with PBE-GGA.

Lattice parameters (Å, degrees): 5.446 5.446 5.446 60.00 60.00 60.00
Fractional coordinates of all 6 atoms:
Ba 0.000 0.000 0.000
Ir 0.126 0.625 0.625
Ir 0.625 0.126 0.625
Ir 0.625 0.625 0.126
Ir 0.625 0.625 0.625
Au 0.250 0.250 0.250

Quick rundown of energy relative to the elements, same order as above: -39 -50 -19 6 -40 -39 18 15 60 -24 35 37 kJ/mol of atoms
Quick rundown of total DFT energy (no corrections), same order as above: -2.695 -3.158 -3.042 -5.173 -3.343 -3.582 -4.145 -4.178 -3.715 -3.356 -3.971 -6.388 eV/atom